No. 1
# Li2ScMo (PBE, optimized geometry)
# Total moment = 0.3 μB/f.u.
# Space group = R-3m, No. 166
# ΔE to the lowest computed polymorph = 232 meV/atom
# Crystal system = trigonal
# Energy of formation from the pure elements = 458 meV/atom
data_Li2ScMo
_cell_length_a 10.5097
_cell_length_b 10.5097
_cell_length_c 10.5097
_cell_angle_alpha 15.42
_cell_angle_beta 15.42
_cell_angle_gamma 15.42
_symmetry_space_group_name_H-M 'P 1'
_symmetry_Int_Tables_number 1
loop_
_symmetry_equiv_pos_as_xyz
'x,y,z'
loop_
_atom_site_label
_atom_site_type_symbol
_atom_site_fract_x
_atom_site_fract_y
_atom_site_fract_z
_atom_site_occupancy
Mo1 Mo 0.2500 0.2500 0.2500 1
Li1 Li 0.5050 0.5050 0.5050 1
Sc1 Sc 0.7500 0.7500 0.7500 1
Li2 Li 0.9950 0.9950 0.9950 1

No. 2
# Pu2CdGe2 (PBE, optimized geometry)
# Total moment = 11.0 μB/f.u.
# Space group = P4/mbm, No. 127
# Crystal system = tetragonal
# Energy of formation from the pure elements = -358 meV/atom
data_Pu2CdGe2
_cell_length_a 4.3864
_cell_length_b 7.2404
_cell_length_c 7.2404
_cell_angle_alpha 90.00
_cell_angle_beta 90.00
_cell_angle_gamma 90.00
_symmetry_space_group_name_H-M 'P 1'
_symmetry_Int_Tables_number 1
loop_
_symmetry_equiv_pos_as_xyz
'x,y,z'
loop_
_atom_site_label
_atom_site_type_symbol
_atom_site_fract_x
_atom_site_fract_y
_atom_site_fract_z
_atom_site_occupancy
Pu1 Pu 0.5000 0.1703 0.6703 1
Ge1 Ge 0.0000 0.6268 0.1268 1
Pu2 Pu 0.5000 0.6703 0.8297 1
Ge2 Ge 0.0000 0.1268 0.3732 1
Ge3 Ge 0.0000 0.3732 0.8732 1
Cd1 Cd 0.0000 0.5000 0.5000 1
Pu3 Pu 0.5000 0.3297 0.1703 1
Pu4 Pu 0.5000 0.8297 0.3297 1
Ge4 Ge 0.0000 0.8732 0.6268 1
Cd2 Cd 0.0000 0.0000 0.0000 1

No. 3
# AcBeSi2Ir (PBE, optimized geometry)
# Total moment = 0.0 μB/f.u.
# Space group = I-4m2, No. 119
# Formation energy (no corrections) = -0.59 eV/atom
# Crystal system = tetragonal
data_AcBeSi2Ir
_cell_length_a 4.1301
_cell_length_b 4.1301
_cell_length_c 6.0769
_cell_angle_alpha 109.87
_cell_angle_beta 109.87
_cell_angle_gamma 90.00
_symmetry_space_group_name_H-M 'P 1'
_symmetry_Int_Tables_number 1
loop_
_symmetry_equiv_pos_as_xyz
'x,y,z'
loop_
_atom_site_label
_atom_site_type_symbol
_atom_site_fract_x
_atom_site_fract_y
_atom_site_fract_z
_atom_site_occupancy
Be1 Be 0.2500 0.7500 0.5000 1
Si1 Si 0.6322 0.6322 0.2644 1
Ac1 Ac 0.0000 0.0000 0.0000 1
Si2 Si 0.3678 0.3678 0.7356 1
Ir1 Ir 0.7500 0.2500 0.5000 1

No. 4
# NdPd8Au2 (PBE, optimized geometry)
# Total moment = 0.0 μB/f.u.
# Space group = C2/m, No. 12
# ΔE to the lowest computed polymorph = 66 meV/atom
# Crystal system = monoclinic
# Energy of formation from the pure elements = -237 meV/atom
data_NdPd8Au2
_cell_length_a 4.9342
_cell_length_b 8.0129
_cell_length_c 8.0129
_cell_angle_alpha 124.58
_cell_angle_beta 107.94
_cell_angle_gamma 107.94
_symmetry_space_group_name_H-M 'P 1'
_symmetry_Int_Tables_number 1
loop_
_symmetry_equiv_pos_as_xyz
'x,y,z'
loop_
_atom_site_label
_atom_site_type_symbol
_atom_site_fract_x
_atom_site_fract_y
_atom_site_fract_z
_atom_site_occupancy
Pd1 Pd 0.7597 0.8989 0.6216 1
Pd2 Pd 0.2481 0.4982 0.4982 1
Au1 Au 0.0000 0.3188 0.6812 1
Pd3 Pd 0.7519 0.5018 0.5018 1
Pd4 Pd 0.5000 0.1963 0.8037 1
Pd5 Pd 0.7597 0.6216 0.8989 1
Pd6 Pd 0.2403 0.3784 0.1011 1
Nd1 Nd 0.5000 0.0000 0.0000 1
Pd7 Pd 0.5000 0.8037 0.1963 1
Au2 Au 0.0000 0.6812 0.3188 1
Pd8 Pd 0.2403 0.1011 0.3784 1

No. 5
# Nd2SmTlN (PBE, optimized geometry)
# Total moment = 0.0 μB/f.u.
# Space group = P4/mmm, No. 123
# Formation energy (no corrections) = -0.83 eV/atom
# Crystal system = tetragonal
data_Nd2SmTlN
_cell_length_a 4.9651
_cell_length_b 5.0402
_cell_length_c 5.0402
_cell_angle_alpha 90.00
_cell_angle_beta 90.00
_cell_angle_gamma 90.00
_symmetry_space_group_name_H-M 'P 1'
_symmetry_Int_Tables_number 1
loop_
_symmetry_equiv_pos_as_xyz
'x,y,z'
loop_
_atom_site_label
_atom_site_type_symbol
_atom_site_fract_x
_atom_site_fract_y
_atom_site_fract_z
_atom_site_occupancy
Sm1 Sm 0.5000 0.0000 0.0000 1
Nd1 Nd 0.0000 0.0000 0.5000 1
Tl1 Tl 0.5000 0.5000 0.5000 1
Nd2 Nd 0.0000 0.5000 0.0000 1
N1 N 0.0000 0.0000 0.0000 1

No. 6
# PaCoPt (PBE, optimized geometry)
# Total moment = 0.0 μB/f.u.
# Space group = Cmcm, No. 63
# Crystal system = orthorhombic
# Energy of formation from the pure elements = -450 meV/atom
data_PaCoPt
_cell_length_a 5.3988
_cell_length_b 5.6225
_cell_length_c 4.7022
_cell_angle_alpha 90.00
_cell_angle_beta 125.03
_cell_angle_gamma 90.00
_symmetry_space_group_name_H-M 'P 1'
_symmetry_Int_Tables_number 1
loop_
_symmetry_equiv_pos_as_xyz
'x,y,z'
loop_
_atom_site_label
_atom_site_type_symbol
_atom_site_fract_x
_atom_site_fract_y
_atom_site_fract_z
_atom_site_occupancy
Co1 Co 0.5620 0.2500 0.1239 1
Pa1 Pa 0.8476 0.2500 0.6952 1
Pa2 Pa 0.1524 0.7500 0.3048 1
Co2 Co 0.4380 0.7500 0.8761 1
Pt1 Pt 0.2170 0.2500 0.4339 1
Pt2 Pt 0.7830 0.7500 0.5661 1